Entry from Alexandria via LeMat-Bulk: HfGeI3 at its PBEsol-relaxed geometry (SCAN).

Structure (POSCAR):
```
HfGeI3
1.0
5.562 0.000 0.000
0.000 5.562 0.000
0.000 0.000 5.562
Hf Ge I
1 1 3
direct
0.000 0.000 0.000
0.500 0.500 0.500
0.000 0.000 0.500
0.000 0.500 0.000
0.500 0.000 0.000
```

Computed properties:
SG	Pm-3m (221)
uncorrected formation energy	0.24	eV/atom
calculated total energy	-38.162	eV per atom

=====

Entry from Alexandria via LeMat-Bulk: HfGeIO2 at its PBEsol-relaxed geometry (SCAN).

Structure (POSCAR):
```
HfGeIO2
1.0
4.071 0.000 0.000
0.000 4.071 0.000
0.000 0.000 5.923
Hf Ge I O
1 1 1 2
direct
0.000 0.000 0.000
0.500 0.500 0.500
0.000 0.000 0.500
0.000 0.500 0.000
0.500 0.000 0.000
```

Computed properties:
SG	P4/mmm (123)
uncorrected formation energy	-1.37	eV/atom
calculated total energy	-27.559	eV per atom

=====

Entry from Alexandria via LeMat-Bulk: HfGePt2I at its PBEsol-relaxed geometry (SCAN).

Structure (POSCAR):
```
HfGePt2I
1.0
4.603 0.000 0.000
0.000 4.603 0.000
0.000 0.000 5.336
Hf Ge Pt I
1 1 2 1
direct
0.000 0.000 0.000
0.500 0.500 0.500
0.000 0.500 0.500
0.500 0.000 0.500
0.500 0.500 0.000
```

Computed properties:
SG	P4/mmm (123)
uncorrected formation energy	0.68	eV/atom
calculated total energy	-51.099	eV per atom

=====

Entry from Alexandria via LeMat-Bulk: Hf3InGe at its PBEsol-relaxed geometry (SCAN).

Structure (POSCAR):
```
Hf3InGe
1.0
4.890 0.000 0.000
0.000 4.890 0.000
0.000 0.000 4.890
Hf In Ge
3 1 1
direct
0.000 0.000 0.500
0.000 0.500 0.000
0.500 0.000 0.000
0.500 0.500 0.500
0.000 0.000 0.000
```

Computed properties:
SG	Pm-3m (221)
calculated total energy	-47.923	eV per atom
ΔE_f	176	meV/atom

=====

Which of these has the lowest calculated total energy?
HfGePt2I